DFT (PBE) results for a relaxed structure of PuNpPa.

Lattice parameters (Å, degrees): 2.881 5.113 5.113 120.00 90.00 90.00
Element x y z (fractional)
Pa1 0.167 0.667 0.333
Pu1 0.667 0.333 0.667
Np1 0.167 0.000 0.000

Output
E above lowest polymorph ... 4.8 kJ/mol of atoms
Space-group type ... P-6m2 (187)
Formation energy ... 0.948 eV per formula unit